Here is a relaxed structure of Cd2HgBi2Pb2 from Alexandria via LeMat-Bulk. Energies are from GGA-PBE.

Lattice parameters (Å, degrees): 17.4758 3.4697 7.4736 90.00 112.67 90.00
With the nearest neighbours (Å) after each atom.
Sites, in units of the cell vectors:
Cd (0.0803, 0.0000, 0.2863)  2 Bi 3.04-3.21, 2 Hg 3.04, 2 Pb 3.40
Cd (0.4197, 0.5000, 0.7137)  2 Bi 3.04-3.21, 2 Hg 3.04, 2 Pb 3.40
Cd (0.5803, 0.5000, 0.2863)  2 Bi 3.04-3.21, 2 Hg 3.04, 2 Pb 3.40
Cd (0.9197, 0.0000, 0.7137)  2 Bi 3.04-3.21, 2 Hg 3.04, 2 Pb 3.40
Hg (0.0000, 0.5000, 0.5000)  4 Cd 3.04
Hg (0.5000, 0.0000, 0.5000)  4 Cd 3.04
Bi (0.1184, 0.0000, 0.9223)  2 Cd 3.04-3.21, 1 Pb 3.31
Bi (0.3816, 0.5000, 0.0777)  2 Cd 3.04-3.21, 1 Pb 3.31
Bi (0.6184, 0.5000, 0.9223)  2 Cd 3.04-3.21, 1 Pb 3.31
Bi (0.8816, 0.0000, 0.0777)  2 Cd 3.04-3.21, 1 Pb 3.31
Pb (0.2146, 0.5000, 0.6695)  3 Bi 3.31-3.44, 3 Cd 3.40-3.47, 1 Hg 3.47, 4 Pb 3.47-3.66
Pb (0.2854, 0.0000, 0.3305)  3 Bi 3.31-3.44, 3 Cd 3.40-3.47, 1 Hg 3.47, 4 Pb 3.47-3.66
Pb (0.7146, 0.0000, 0.6695)  3 Bi 3.31-3.44, 3 Cd 3.40-3.47, 1 Hg 3.47, 4 Pb 3.47-3.66
Pb (0.7854, 0.5000, 0.3305)  3 Bi 3.31-3.44, 3 Cd 3.40-3.47, 1 Hg 3.47, 4 Pb 3.47-3.66

Calculated values
Crystal system ... monoclinic
Symmetry ... C2/m
M_tot ... 0.00 μB/cell
DFT total energy ... -2.4199 eV per atom